! PBE KCu2RhF8, optimized geometry; values from VASP
&SYSTEM
  ibrav = 0, nat = 12, ntyp = 4
/
ATOMIC_SPECIES
F 19.00 F.upf
K 39.10 K.upf
Cu 63.55 Cu.upf
Rh 102.91 Rh.upf
CELL_PARAMETERS angstrom
-1.080 4.028 -3.286
-3.437 -3.071 -2.635
-2.161 1.324 6.623
ATOMIC_POSITIONS angstrom
F -4.587 1.161 0.595
F -2.073 -0.613 0.983
F -3.687 3.399 2.852
F -1.450 0.794 -1.232
F -4.339 -0.124 3.800
F -3.879 0.495 -4.015
F -4.210 -1.297 -1.259
F -4.843 -1.787 1.737
K -2.749 2.916 0.189
Cu -2.258 0.479 -2.960
Cu -3.928 -0.634 0.514
Rh 0.000 0.000 0.000
! - Density of states at the Fermi level: 7.18 states/eV/f.u.
! - Uncorrected energy: -4.180 eV/atom
! - Spin magnetization: 4.033 μB per formula unit
! - Formation energy from raw total energies: -1546 meV per atom

! PBE SiCBr2, optimized geometry; values from VASP
&SYSTEM
  ibrav = 0, nat = 4, ntyp = 3
/
ATOMIC_SPECIES
Br 79.90 Br.upf
C 12.01 C.upf
Si 28.09 Si.upf
CELL_PARAMETERS angstrom
-4.270 -2.789 6.929
-1.098 -4.169 7.446
-1.740 -0.861 8.382
ATOMIC_POSITIONS angstrom
Br -6.496 -7.144 20.794
Br -0.613 -0.674 1.962
C 0.000 0.000 0.000
Si -3.554 -3.909 11.378
! - Density of states at the Fermi level: 1.82 states/eV/f.u.
! - Uncorrected energy: -2.842 eV/atom
! - Spin magnetization: 0.000 μB per formula unit
! - Formation energy from raw total energies: 1656 meV per atom

! PBE KMnVS3, optimized geometry; values from VASP
&SYSTEM
  ibrav = 0, nat = 12, ntyp = 4
/
ATOMIC_SPECIES
K 39.10 K.upf
S 32.06 S.upf
V 50.94 V.upf
Mn 54.94 Mn.upf
CELL_PARAMETERS angstrom
-3.088 -0.763 1.355
1.306 -7.890 -1.464
2.819 3.614 8.460
ATOMIC_POSITIONS angstrom
K 0.798 -3.789 6.303
K 0.239 -1.249 2.048
S -0.804 -7.011 0.839
S 1.840 1.973 7.511
S -0.644 -0.317 4.972
S 1.680 -4.721 3.378
S 2.169 -0.935 6.624
S -1.132 -4.103 1.727
V 1.165 1.043 5.448
V -0.128 -6.081 2.903
Mn 0.634 0.062 8.097
Mn 0.403 -5.100 0.254
! - Density of states at the Fermi level: 2.44 states/eV/f.u.
! - Uncorrected energy: -6.213 eV/atom
! - Spin magnetization: 2.484 μB per formula unit
! - Formation energy from raw total energies: -918 meV per atom

! PBE PrFe2H8, optimized geometry; values from VASP
&SYSTEM
  ibrav = 0, nat = 11, ntyp = 3
/
ATOMIC_SPECIES
H 1.01 H.upf
Pr 140.91 Pr.upf
Fe 55.84 Fe.upf
CELL_PARAMETERS angstrom
-2.542 2.329 1.258
1.096 -1.230 4.471
2.435 3.651 -1.857
ATOMIC_POSITIONS angstrom
H 0.429 -0.297 1.421
H 0.560 5.047 2.451
H 0.751 3.308 0.726
H -0.206 2.992 2.264
H 0.239 1.442 3.146
H 0.832 1.170 -0.481
H 0.158 3.580 4.354
H 1.195 1.758 1.608
Pr -1.271 1.164 0.629
Fe 1.531 0.357 2.414
Fe 2.000 2.064 0.200
! - Density of states at the Fermi level: 4.65 states/eV/f.u.
! - Uncorrected energy: -4.550 eV/atom
! - Spin magnetization: 0.552 μB per formula unit

! PBE SrCu2O2, optimized geometry; values from VASP
&SYSTEM
  ibrav = 0, nat = 5, ntyp = 3
/
ATOMIC_SPECIES
O 16.00 O.upf
Cu 63.55 Cu.upf
Sr 87.62 Sr.upf
CELL_PARAMETERS angstrom
3.370 0.000 0.000
0.000 3.370 0.000
1.685 1.685 5.690
ATOMIC_POSITIONS angstrom
O 1.685 1.685 1.349
O 3.370 3.370 4.341
Cu 3.370 1.685 2.845
Cu 1.685 3.370 2.845
Sr 0.000 0.000 0.000
! - Density of states at the Fermi level: 0.19 states/eV/f.u.
! - Uncorrected energy: -4.936 eV/atom
! - Spin magnetization: 0.000 μB per formula unit
! - Formation energy from raw total energies: -978 meV per atom

! PBE Zr4FeBi2, optimized geometry; values from VASP
&SYSTEM
  ibrav = 0, nat = 7, ntyp = 3
/
ATOMIC_SPECIES
Zr 91.22 Zr.upf
Bi 208.98 Bi.upf
Fe 55.84 Fe.upf
CELL_PARAMETERS angstrom
-2.537 2.889 2.823
-3.347 -3.370 0.441
0.711 -3.062 7.803
ATOMIC_POSITIONS angstrom
Zr -1.268 1.445 1.411
Zr -1.674 -1.685 0.220
Zr -0.444 -2.169 5.851
Zr -4.728 -1.373 5.216
Bi -1.904 -1.042 3.385
Bi -3.269 -2.500 7.681
Fe 0.000 0.000 0.000
! - Density of states at the Fermi level: 3.54 states/eV/f.u.
! - E_form: -0.7 eV/f.u.
! - Uncorrected energy: -7.307 eV/atom
! - Spin magnetization: 0.000 μB per formula unit